! CsTlCuBr5 | Alexandria | PBE | relaxed; values from VASP
&SYSTEM
  ibrav = 0, nat = 16, ntyp = 4
/
ATOMIC_SPECIES
Cs 132.91 Cs.upf
Tl 204.38 Tl.upf
Cu 63.55 Cu.upf
Br 79.90 Br.upf
ATOMIC_POSITIONS crystal
Cs 0.1532 0.8468 0.7500
Cs 0.8468 0.1532 0.2500
Tl 0.5000 0.5000 0.0000
Tl 0.5000 0.5000 0.5000
Cu 0.1965 0.8035 0.2500
Cu 0.8035 0.1965 0.7500
Br 0.1102 0.2737 0.9172
Br 0.1902 0.6184 0.3976
Br 0.2737 0.1102 0.4172
Br 0.3816 0.8098 0.1024
Br 0.4342 0.5658 0.7500
Br 0.5658 0.4342 0.2500
Br 0.6184 0.1902 0.8976
Br 0.7263 0.8898 0.5828
Br 0.8098 0.3816 0.6024
Br 0.8898 0.7263 0.0828
CELL_PARAMETERS angstrom
4.8066 -6.3433 0.0000
4.8066 6.3433 0.0000
-4.3545 0.0000 9.9006
! * calculated density: 4.40 g/cm3
! * symmetry: No. 15
! * DOS at the Fermi energy: 13.60 states/eV/cell
! * spin magnetization: 0.00 μB/f.u.
! * electronic total energy: -2.7443 eV per atom

=====

! Cs2SrCdI6 | Alexandria | PBE | relaxed; values from VASP
&SYSTEM
  ibrav = 0, nat = 10, ntyp = 4
/
ATOMIC_SPECIES
Cs 132.91 Cs.upf
Sr 87.62 Sr.upf
Cd 112.41 Cd.upf
I 126.90 I.upf
ATOMIC_POSITIONS crystal
Cs 0.3333 0.6667 0.3104
Cs 0.6667 0.3333 0.6896
Sr 0.0000 0.0000 0.0000
Cd 0.0000 0.0000 0.5000
I 0.1669 0.3339 0.7280
I 0.1669 0.8331 0.7280
I 0.3339 0.1669 0.2720
I 0.6661 0.8331 0.7280
I 0.8331 0.1669 0.2720
I 0.8331 0.6661 0.2720
CELL_PARAMETERS angstrom
8.5991 0.0000 0.0000
-4.2995 7.4470 0.0000
0.0000 0.0000 7.7805
! * excess energy over the best structure of this formula in the dataset: 0.0 kJ/mol of atoms
! * calculated density: 4.09 g/cm3
! * symmetry: No. 164
! * DOS at the Fermi energy: 0.00 states/eV/cell
! * spin magnetization: 0.00 μB/f.u.
! * electronic total energy: -2.6656 eV per atom

=====

! Tl2CdPd2 | Alexandria | PBE | relaxed; values from VASP
&SYSTEM
  ibrav = 0, nat = 10, ntyp = 3
/
ATOMIC_SPECIES
Tl 204.38 Tl.upf
Cd 112.41 Cd.upf
Pd 106.42 Pd.upf
ATOMIC_POSITIONS crystal
Tl 0.1492 0.3508 0.0000
Tl 0.3508 0.8508 0.0000
Tl 0.6492 0.1492 0.0000
Tl 0.8508 0.6492 0.0000
Cd 0.0000 0.0000 0.0000
Cd 0.5000 0.5000 0.0000
Pd 0.1475 0.6475 0.5000
Pd 0.3525 0.1475 0.5000
Pd 0.6475 0.8525 0.5000
Pd 0.8525 0.3525 0.5000
CELL_PARAMETERS angstrom
7.9895 0.0000 0.0000
0.0000 7.9895 0.0000
0.0000 0.0000 3.2780
! * excess energy over the best structure of this formula in the dataset: 13.0 kJ/mol of atoms
! * calculated density: 11.65 g/cm3
! * symmetry: No. 127
! * DOS at the Fermi energy: 4.78 states/eV/cell
! * spin magnetization: 0.00 μB/f.u.
! * energy relative to the elements: -0.012 eV/atom
! * electronic total energy: -3.2189 eV per atom

=====

! TlAg3Au3 | Alexandria | PBE | relaxed; values from VASP
&SYSTEM
  ibrav = 0, nat = 14, ntyp = 3
/
ATOMIC_SPECIES
Tl 204.38 Tl.upf
Ag 107.87 Ag.upf
Au 196.97 Au.upf
ATOMIC_POSITIONS crystal
Tl 0.0000 0.0000 0.0000
Tl 0.5000 0.5000 0.5000
Ag 0.0000 0.2500 0.5000
Ag 0.0000 0.7500 0.5000
Ag 0.2500 0.5000 0.0000
Ag 0.5000 0.0000 0.2500
Ag 0.5000 0.0000 0.7500
Ag 0.7500 0.5000 0.0000
Au 0.0000 0.5000 0.2500
Au 0.0000 0.5000 0.7500
Au 0.2500 0.0000 0.5000
Au 0.5000 0.2500 0.0000
Au 0.5000 0.7500 0.0000
Au 0.7500 0.0000 0.5000
CELL_PARAMETERS angstrom
7.5500 0.0000 0.0000
0.0000 7.5500 0.0000
0.0000 0.0000 7.5500
! * calculated density: 8.63 g/cm3
! * symmetry: No. 223
! * DOS at the Fermi energy: 3.12 states/eV/cell
! * spin magnetization: 0.00 μB/f.u.
! * energy relative to the elements: 0.458 eV/atom
! * electronic total energy: -2.5062 eV per atom